[1]
VASP calculation (GGA-PBE) on crystalline ZrBeCuGe at its relaxed geometry.

Unit cell a=4.370 b=4.370 c=4.370 alpha=60.00 beta=60.00 gamma=60.00
Fractional coordinates of all 4 atoms:
Zr: 0.500 0.500 0.500
Ge: 0.000 0.000 0.000
Cu: 0.250 0.250 0.250
Be: 0.750 0.750 0.750

Computed properties:
size of the total moment = 0.0 μB per cell
E = -20.2 eV per cell

[2]
VASP calculation (GGA-PBE) on crystalline HfBeCu2 at its relaxed geometry.

Unit cell a=4.209 b=4.209 c=4.209 alpha=60.00 beta=60.00 gamma=60.00
Fractional coordinates of all 4 atoms:
Cu: 0.000 0.000 0.000
Cu: 0.750 0.750 0.750
Be: 0.500 0.500 0.500
Hf: 0.250 0.250 0.250

Computed properties:
size of the total moment = 0.0 μB per cell
E = -21.3 eV per cell